[1]
Entry from Alexandria: a geometry-optimized Rb3LaI6 structure (PBE).

```
Rb3LaI6
1.0
0.000 6.626 6.626
6.626 0.000 6.626
6.626 6.626 0.000
Rb La I
3 1 6
Direct
0.000 0.000 0.000
0.250 0.250 0.250
0.750 0.750 0.750
0.500 0.500 0.500
0.262 0.262 0.738
0.262 0.738 0.262
0.262 0.738 0.738
0.738 0.262 0.262
0.738 0.262 0.738
0.738 0.738 0.262
```

For the uncorrected formation energy, the calculation gives -1.44 eV/atom. The energy above the most stable polymorph in this dataset comes out at 80 meV per atom. As for the space group: Fm-3m. For the total magnetic moment, the calculation gives 0.0 μB per formula unit. The calculated density comes out at 3.301 g cm⁻³.

---

[2]
Entry from Alexandria: a geometry-optimized CuPdPt3 structure (PBE).

```
CuPdPt3
1.0
6.211 -2.337 0.000
6.211 2.337 0.000
-1.686 0.000 5.218
Cu Pd Pt
2 2 6
Direct
0.001 0.001 0.248
0.999 0.999 0.752
0.401 0.401 0.059
0.599 0.599 0.941
0.195 0.195 0.666
0.196 0.196 0.166
0.401 0.401 0.558
0.599 0.599 0.442
0.804 0.804 0.834
0.805 0.805 0.334
```

The energy above the most stable polymorph in this dataset comes out at 0 meV per atom. The formation energy is -0.0215 eV/atom. As for the space group: C2/m. For the total magnetic moment, the calculation gives 0.0 μB per formula unit. The calculated density comes out at 16.556 g cm⁻³.

---

[3]
Entry from Alexandria: a geometry-optimized NaMgNi4 structure (PBE).

```
NaMgNi4
1.0
0.000 3.446 3.446
3.446 0.000 3.446
3.446 3.446 0.000
Na Mg Ni
1 1 4
Direct
0.000 0.000 0.000
0.250 0.250 0.250
0.126 0.625 0.625
0.625 0.126 0.625
0.625 0.625 0.126
0.625 0.625 0.625
```

The formation energy is 0.0320 eV/atom. As for the space group: F-43m. For the total magnetic moment, the calculation gives 0.8 μB per formula unit. The calculated density comes out at 5.721 g cm⁻³.

---

[4]
Entry from Alexandria: a geometry-optimized Li2MgZnAg structure (PBE).

```
Li2MgZnAg
1.0
2.320 -4.932 0.000
2.320 4.932 0.000
0.000 0.000 7.899
Li Mg Zn Ag
4 2 2 2
Direct
0.191 0.809 0.568
0.191 0.809 0.932
0.809 0.191 0.068
0.809 0.191 0.432
0.500 0.500 0.000
0.500 0.500 0.500
0.041 0.959 0.250
0.959 0.041 0.750
0.309 0.691 0.250
0.691 0.309 0.750
```

The formation energy is -0.1012 eV/atom. As for the space group: Cmcm. For the total magnetic moment, the calculation gives 0.0 μB per formula unit. The calculated density comes out at 3.885 g cm⁻³.

---

[5]
Entry from Alexandria: a geometry-optimized Dy3GeCl3 structure (PBE).

```
Dy3GeCl3
1.0
3.425 1.977 10.152
-3.425 1.977 10.152
0.000 -3.955 10.152
Dy Ge Cl
6 2 6
Direct
0.113 0.447 0.781
0.219 0.887 0.553
0.447 0.781 0.113
0.553 0.219 0.887
0.781 0.113 0.447
0.887 0.553 0.219
0.167 0.167 0.167
0.833 0.833 0.833
0.059 0.728 0.394
0.272 0.606 0.941
0.394 0.059 0.728
0.606 0.941 0.272
0.728 0.394 0.059
0.941 0.272 0.606
```

For the uncorrected formation energy, the calculation gives -1.57 eV/atom. As for the space group: R-3. For the total magnetic moment, the calculation gives 0.0 μB per formula unit. The calculated density comes out at 5.366 g cm⁻³.

---

[6]
Entry from Alexandria: a geometry-optimized Tb2PrPu3Te6 structure (PBE).

```
Tb2PrPu3Te6
1.0
9.647 -2.209 0.000
9.647 2.209 0.000
-1.982 0.000 8.647
Tb Pr Pu Te
2 1 3 6
Direct
0.166 0.166 0.335
0.834 0.834 0.665
0.500 0.500 0.000
0.165 0.165 0.835
0.500 0.500 0.500
0.835 0.835 0.165
0.002 0.002 0.257
0.330 0.330 0.911
0.332 0.332 0.417
0.668 0.668 0.583
0.670 0.670 0.089
0.998 0.998 0.743
```

For the uncorrected formation energy, the calculation gives -1.24 eV/atom. As for the space group: C2/m. For the total magnetic moment, the calculation gives 5.9 μB per formula unit. The calculated density comes out at 8.816 g cm⁻³.

---

[7]
Entry from Alexandria: a geometry-optimized GaCo3H structure (PBE).

```
GaCo3H
1.0
4.027 0.000 0.000
-2.013 3.487 0.000
0.000 0.000 7.163
Ga Co H
2 6 2
Direct
0.333 0.667 0.250
0.667 0.333 0.750
0.000 0.000 0.250
0.000 0.000 0.750
0.333 0.667 0.583
0.333 0.667 0.917
0.667 0.333 0.083
0.667 0.333 0.417
0.000 0.000 0.000
0.000 0.000 0.500
```

The energy above the most stable polymorph in this dataset comes out at 296 meV per atom. As for the space group: P6_3/mmc. For the total magnetic moment, the calculation gives 3.0 μB per formula unit. The calculated density comes out at 8.174 g cm⁻³.

---

[8]
Entry from Alexandria: a geometry-optimized CeBe5Cu7 structure (PBE).

```
CeBe5Cu7
1.0
-2.258 4.141 4.111
2.258 -4.141 4.111
2.258 4.141 -4.111
Ce Be Cu
1 5 7
Direct
0.000 0.000 0.000
0.499 0.495 0.506
0.499 0.993 0.004
0.756 0.256 0.500
0.989 0.495 0.996
0.989 0.993 0.494
0.209 0.490 0.719
0.225 0.725 0.500
0.353 0.353 0.000
0.354 0.001 0.353
0.648 0.001 0.647
0.653 0.653 0.000
0.771 0.490 0.281
```

The formation energy is -0.0744 eV/atom. As for the space group: Imm2. For the total magnetic moment, the calculation gives 0.3 μB per formula unit. The calculated density comes out at 6.804 g cm⁻³.

---

Question: Among the records above, which one has the highest calculated density?
Answer: CuPdPt3